# 1
Material: PmNd2Ho2Sc2
Method: DFT, PBE-GGA
State: optimized geometry

Cell: 3.4553 11.8688 5.4405 Å, 76.73 90.00 98.37°
Sites, in units of the cell vectors:
Nd1 0.4263 0.8525 0.0733
Ho1 0.7898 0.5796 0.2101
Nd2 0.5737 0.1475 0.9267
Sc1 0.3538 0.7076 0.6456
Ho2 0.2102 0.4204 0.7899
Pm1 0.0000 0.0000 0.5000
Sc2 0.6462 0.2924 0.3544

Summary:
Total energy in eV/f.u.: -35.508
Symmetry: Immm, No. 71


# 2
Material: Cs2TaPtCl6
Method: DFT, PBE-GGA
State: optimized geometry

Cell: 8.3383 8.3383 7.5046 Å, 56.25 56.25 90.00°
Site moments in Bohr magnetons follow the coordinates.
Sites, in units of the cell vectors:
Pt1 0.0000 0.0000 0.0000  -0.08
Cl1 0.2411 0.2411 0.5179  -0.01
Cl2 0.7074 0.2926 0.0000  0.00
Cs1 0.2500 0.7500 0.5000  0.00
Cs2 0.7500 0.2500 0.5000  0.00
Cl3 0.2926 0.2926 0.0000  0.00
Cl4 0.7074 0.7074 0.0000  0.00
Cl5 0.2926 0.7074 0.0000  0.00
Ta1 0.5000 0.5000 0.0000  0.77
Cl6 0.7589 0.7589 0.4821  -0.01

Summary:
Energy relative to the elements, uncorrected in eV per atom: -1.162
Symmetry: I4/mmm, No. 139


# 3
Material: TlZnO2
Method: DFT, PBE-GGA
State: optimized geometry

Cell: 8.5269 5.8216 5.8231 Å, 90.00 90.00 90.00°
Sites, in units of the cell vectors:
Zn1 0.0310 0.7500 0.0006
O1 0.4987 0.5000 0.2628
O2 0.5013 0.5000 0.7372
O3 0.5013 0.0000 0.7372
Zn2 0.5310 0.2500 0.4994
O4 0.0013 0.5000 0.7628
Tl1 0.1242 0.2500 0.4987
Tl2 0.6242 0.7500 0.0013
Tl3 0.3758 0.2500 0.9987
Tl4 0.8758 0.7500 0.5013
Zn3 0.9690 0.2500 0.9994
O5 0.9987 0.0000 0.2372
Zn4 0.4690 0.7500 0.5006
O6 0.0013 0.0000 0.7628
O7 0.4987 0.0000 0.2628
O8 0.9987 0.5000 0.2372

Summary:
Energy relative to the elements, uncorrected in eV per atom: -0.717
Symmetry: Pnma, No. 62


# 4
Material: ZnGaPt
Method: DFT, PBE-GGA
State: optimized geometry

Cell: 4.3424 6.0689 8.3151 Å, 90.00 90.00 90.00°
Sites, in units of the cell vectors:
Zn1 0.7500 0.2341 0.6298
Ga1 0.7500 0.7221 0.6530
Pt1 0.2500 0.4893 0.6202
Ga2 0.2500 0.2221 0.8470
Pt2 0.7500 0.9893 0.8798
Pt3 0.7500 0.5107 0.3798
Zn2 0.2500 0.7659 0.3702
Zn3 0.2500 0.7341 0.8702
Ga3 0.7500 0.7779 0.1530
Ga4 0.2500 0.2779 0.3470
Pt4 0.2500 0.0107 0.1202
Zn4 0.7500 0.2659 0.1298

Summary:
Total energy in eV/f.u.: -11.726
Symmetry: Pnma, No. 62